Entry 1:
Entry from the Alexandria database: a relaxed structure of ScSnBi2 (PBE).

Values from the calculation:
Its total energy is -0.343 Ry per atom. Its volume is 125.7 Å³ per cell. For the density of states at the Fermi level, the calculation gives 2.46 states/eV/f.u. For the formation energy, the calculation gives -0.149 eV per atom.

Lattice parameters (Å, degrees): 7.6453 7.6453 7.6453 34.17 34.17 34.17
Closest atoms and distances in Å follow each position.
Fractional positions:
Sc1 0.0000 0.0000 0.0000  6 Bi 3.03-3.04
Sn1 0.1666 0.1666 0.1666  6 Bi 3.28-3.30, 1 Sc 3.59
Bi1 0.4066 0.4066 0.4066  3 Sc 3.04, 3 Sn 3.28
Bi2 0.5942 0.5942 0.5942  3 Sc 3.03, 3 Sn 3.30

Entry 2:
Entry from the Alexandria database: a relaxed structure of ScSnBi (PBE).

Values from the calculation:
Its total energy is -0.353 Ry per atom. Its volume is 361.5 Å³ per cell. For the density of states at the Fermi level, the calculation gives 2.64 states/eV/f.u. The energy above the lowest structure with this stoichiometry is 81 kJ/mol of formula units. For the formation energy, the calculation gives -0.058 eV per atom.

Lattice parameters (Å, degrees): 9.1647 8.4359 7.2057 71.24 60.64 48.11
Closest atoms and distances in Å follow each position.
Fractional positions:
Sc1 0.0551 0.6949 0.6949  2 Bi 2.87, 4 Sn 3.03-3.08, 1 Sc 3.18
Sc2 0.3051 0.9449 0.9449  2 Bi 2.87, 4 Sn 3.03-3.08, 1 Sc 3.18
Sc3 0.6949 0.0551 0.0551  2 Bi 2.87, 4 Sn 3.03-3.08, 1 Sc 3.18
Sc4 0.9449 0.3051 0.3051  2 Bi 2.87, 4 Sn 3.03-3.08, 1 Sc 3.18
Sn1 0.0543 0.0543 0.6957  4 Sc 3.03-3.08, 2 Bi 3.34
Sn2 0.3043 0.3043 0.9457  4 Sc 3.03-3.08, 2 Bi 3.34
Sn3 0.6957 0.6957 0.0543  4 Sc 3.03-3.08, 2 Bi 3.34
Sn4 0.9457 0.9457 0.3043  4 Sc 3.03-3.08, 2 Bi 3.34
Bi1 0.0000 0.5000 0.5000  2 Sc 2.87
Bi2 0.5000 0.0000 0.5000  2 Sc 2.87
Bi3 0.5000 0.5000 0.0000  2 Sc 2.87
Bi4 0.5000 0.5000 0.5000  2 Sc 2.87

Entry 3:
Entry from the Alexandria database: a relaxed structure of ScSnBi2 (PBE).

Values from the calculation:
Its total energy is -0.331 Ry per atom. Its volume is 325.2 Å³ per cell. For the density of states at the Fermi level, the calculation gives 3.70 states/eV/f.u. For the formation energy, the calculation gives 0.015 eV per atom.

Lattice parameters (Å, degrees): 8.5252 8.5252 8.5252 133.03 133.03 68.61
Closest atoms and distances in Å follow each position.
Fractional positions:
Sc1 0.0000 0.0000 0.0000  4 Bi 2.93
Sc2 0.7500 0.2500 0.5000  4 Bi 2.93
Sn1 0.2500 0.7500 0.5000  4 Bi 3.03
Sn2 0.5000 0.5000 0.0000  4 Bi 3.03
Bi1 0.1110 0.6250 0.9860  2 Sc 2.93, 2 Sn 3.03
Bi2 0.3750 0.3610 0.4860  2 Sc 2.93, 2 Sn 3.03
Bi3 0.6390 0.1250 0.0140  2 Sc 2.93, 2 Sn 3.03
Bi4 0.8750 0.8890 0.5140  2 Sc 2.93, 2 Sn 3.03

Entry 4:
Entry from the Alexandria database: a relaxed structure of Sc8Sn2Bi (PBE).

Values from the calculation:
Its total energy is -0.443 Ry per atom. Its volume is 273.6 Å³ per cell. For the density of states at the Fermi level, the calculation gives 13.19 states/eV/f.u. For the formation energy, the calculation gives -0.344 eV per atom.

Lattice parameters (Å, degrees): 9.5405 9.5405 6.4685 101.89 101.89 28.40
Closest atoms and distances in Å follow each position.
Fractional positions:
Sc1 0.0212 0.0212 0.2462  1 Sn 2.91, 2 Bi 2.93, 1 Sc 3.11
Sc2 0.2208 0.2208 0.8363  3 Sn 3.01-3.13, 4 Sc 3.15-3.19
Sc3 0.3387 0.3387 0.4815  3 Sn 2.93-2.98, 1 Bi 2.96, 2 Sc 3.15
Sc4 0.4066 0.4066 0.0073  2 Sn 3.14, 1 Bi 3.29, 7 Sc 3.30-3.48
Sc5 0.5934 0.5934 0.9927  2 Sn 3.14, 1 Bi 3.29, 7 Sc 3.30-3.48
Sc6 0.6613 0.6613 0.5185  3 Sn 2.93-2.98, 1 Bi 2.96, 2 Sc 3.15
Sc7 0.7792 0.7792 0.1637  3 Sn 3.01-3.13, 4 Sc 3.15-3.19
Sc8 0.9788 0.9788 0.7538  1 Sn 2.91, 2 Bi 2.93, 1 Sc 3.11
Sn1 0.1798 0.1798 0.2626  9 Sc 2.91-3.14
Sn2 0.8202 0.8202 0.7374  9 Sc 2.91-3.14
Bi1 0.5000 0.5000 0.5000  6 Sc 2.93-2.96